Below is a crystal of Ta2CdCo relaxed with PBEsol, with properties calculated at the SCAN level.

total DFT energy (no corrections) = -180.3 eV per cell
energy relative to the elements = 0.63 eV per formula unit
mass density = 13.7 g/cm3
DOS at the Fermi energy = 2.83 states/eV per cell

Cell: 2.8688 2.8688 7.8506 Å, 90.00 90.00 90.00°
Closest atoms and distances in Å follow each position.
Element x y z (fractional)
Ta 0.5000 0.5000 0.2420  8 Ta 2.87-3.02, 4 Cd 3.05
Ta 0.0000 0.0000 0.9572  4 Co 2.51
Cd 0.0000 0.0000 0.5319  4 Co 2.75, 4 Cd 2.87, 4 Ta 3.05
Co 0.5000 0.5000 0.7689  4 Ta 2.51, 4 Cd 2.75